1.
Density functional theory data (PBE) for a geometry-optimized RbAs3Rh3 structure.

Calculated formation energy ... -0.414 eV/atom
Space group ... R-3

abc: 9.314 9.314 9.314
angles: 42.59 42.59 42.59
Fractional coordinates of all 14 atoms:
1 Rb 0.170 0.170 0.170
2 Rb 0.830 0.830 0.830
3 As 0.121 0.357 0.710
4 As 0.290 0.879 0.643
5 As 0.357 0.710 0.121
6 As 0.643 0.290 0.879
7 As 0.710 0.121 0.357
8 As 0.879 0.643 0.290
9 Rh 0.031 0.281 0.585
10 Rh 0.281 0.585 0.031
11 Rh 0.415 0.969 0.719
12 Rh 0.585 0.031 0.281
13 Rh 0.719 0.415 0.969
14 Rh 0.969 0.719 0.415

***

2.
Density functional theory data (PBE) for a geometry-optimized MgRe2Hg structure.

Calculated formation energy ... 0.528 eV/atom
E above lowest polymorph ... 0.3414 eV per atom
Space group ... Pmmm

abc: 3.191 4.380 4.767
angles: 90.00 90.00 90.00
Fractional coordinates of all 4 atoms:
1 Mg 0.000 0.000 0.000
2 Re 0.000 0.500 0.500
3 Re 0.500 0.000 0.500
4 Hg 0.500 0.500 0.000

***

3.
Density functional theory data (PBE) for a geometry-optimized Ba5Mg structure.

Calculated formation energy ... -0.001 eV/atom
E above lowest polymorph ... 0.0000 eV per atom
Space group ... P4/mmm

abc: 4.420 4.420 17.478
angles: 90.00 90.00 90.00
Fractional coordinates of all 6 atoms:
1 Ba 0.000 0.000 0.000
2 Ba 0.000 0.000 0.380
3 Ba 0.000 0.000 0.620
4 Ba 0.500 0.500 0.188
5 Ba 0.500 0.500 0.812
6 Mg 0.500 0.500 0.500